Record 1
Material: BeSi3H
Method: DFT, PBE
State: relaxed

Output
Spin magnetization in μB per cell: 0.00
Density in g cm⁻³: 2.04
Excess energy over the best structure of this formula in the dataset in eV per atom: 0.442
Calculated total energy in eV/atom: -3.556

abc: 4.2478 4.2478 4.2478
angles: 90.00 90.00 90.00
Closest atoms and distances in Å follow each position.
Sites, in units of the cell vectors:
Be1 0.0000 0.0000 0.0000  6 Si 2.12
H1 0.5000 0.5000 0.5000  12 Si 3.00
Si1 0.0000 0.5000 0.0000  2 Be 2.12
Si2 0.5000 0.0000 0.0000  2 Be 2.12
Si3 0.0000 0.0000 0.5000  2 Be 2.12

---

Record 2
Material: BeSiH
Method: DFT, PBE
State: relaxed

Output
Spin magnetization in μB per cell: 0.00
Density in g cm⁻³: 1.88
Excess energy over the best structure of this formula in the dataset in eV per atom: 0.119
Calculated total energy in eV/atom: -3.956

abc: 3.8850 3.8834 5.5117
angles: 87.25 70.48 60.23
Closest atoms and distances in Å follow each position.
Sites, in units of the cell vectors:
Be1 0.9239 0.7121 0.3478  4 Si 2.24-2.40, 3 Be 2.42-2.47
Be2 0.1548 0.0797 0.5372  1 H 1.59
H1 0.9553 0.1630 0.8462  1 Be 1.59, 1 Si 1.59
H2 0.5737 0.8351 0.9166  1 Si 1.52
Si1 0.5086 0.4118 0.4999  6 Be 2.23-2.40, 1 Si 2.38
Si2 0.2305 0.7442 0.9303  2 H 1.52-1.59

---

Record 3
Material: BeSiH
Method: DFT, PBE
State: relaxed

Output
Spin magnetization in μB per cell: 0.00
Density in g cm⁻³: 1.84
Excess energy over the best structure of this formula in the dataset in eV per atom: 0.135
Calculated total energy in eV/atom: -3.941

abc: 3.8624 4.0120 5.4088
angles: 109.38 90.57 117.69
Closest atoms and distances in Å follow each position.
Sites, in units of the cell vectors:
H1 0.8330 0.7914 0.3201  1 Be 1.49, 1 Si 1.58
H2 0.1929 0.4492 0.7048  1 Be 1.51, 1 Si 1.65
Be1 0.3950 0.9042 0.8522  1 H 1.51
Be2 0.6224 0.3468 0.2587  1 H 1.49
Si1 0.5886 0.3914 0.6843  1 H 1.65
Si2 0.9433 0.9849 0.1020  1 H 1.58

---

Record 4
Material: BeSiH3
Method: DFT, PBE
State: relaxed

Output
Spin magnetization in μB per cell: 0.00
Density in g cm⁻³: 1.86
Excess energy over the best structure of this formula in the dataset in eV per atom: 0.000
Calculated total energy in eV/atom: -3.208

abc: 3.2990 3.2990 3.2990
angles: 90.00 90.00 90.00
Closest atoms and distances in Å follow each position.
Sites, in units of the cell vectors:
H1 0.5000 0.0000 0.0000  2 Be 1.65
H2 0.0000 0.0000 0.5000  2 Be 1.65
H3 0.0000 0.5000 0.0000  2 Be 1.65
Si1 0.5000 0.5000 0.5000  12 H 2.33
Be1 0.0000 0.0000 0.0000  6 H 1.65

---

Record 5
Material: BeSiTc2H
Method: DFT, PBE
State: relaxed

Output
Spin magnetization in μB per cell: 0.00
Density in g cm⁻³: 7.61
Calculated total energy in eV/atom: -6.789

abc: 4.0704 4.0704 3.0820
angles: 90.00 90.00 90.00
Closest atoms and distances in Å follow each position.
Sites, in units of the cell vectors:
Tc1 0.0000 0.5000 0.0000  2 H 2.04
Tc2 0.5000 0.0000 0.0000  2 H 2.04
Si1 0.5000 0.5000 0.5000  8 Tc 2.55
Be1 0.0000 0.0000 0.5000  2 H 1.54
H1 0.0000 0.0000 0.0000  2 Be 1.54

---

Record 6
Material: BeVSi2H
Method: DFT, PBE
State: relaxed

Output
Spin magnetization in μB per cell: 0.00
Density in g cm⁻³: 3.38
Calculated total energy in eV/atom: -4.997

abc: 4.7111 2.5895 4.7111
angles: 90.00 90.00 90.00
Closest atoms and distances in Å follow each position.
Sites, in units of the cell vectors:
Be1 0.0000 0.0000 0.0000  2 H 1.29
H1 0.0000 0.5000 0.0000  2 Be 1.29
Si1 0.0000 0.0000 0.5000  2 Be 2.36, 2 Si 2.59
Si2 0.5000 0.0000 0.0000  2 Be 2.36, 2 Si 2.59
V1 0.5000 0.5000 0.5000  2 V 2.59, 8 Si 2.69

---

Record 7
Material: Sm2BeH
Method: DFT, PBE
State: relaxed

Output
Spin magnetization in μB per cell: 0.00
Density in g cm⁻³: 6.34
Calculated total energy in eV/atom: -4.091

abc: 3.7578 3.7578 7.0029
angles: 74.44 74.44 60.00
Closest atoms and distances in Å follow each position.
Sites, in units of the cell vectors:
Sm1 0.2396 0.2396 0.2811  3 H 2.61, 3 Be 2.87
Sm2 0.7604 0.7604 0.7189  3 H 2.61, 3 Be 2.87
H1 0.5000 0.5000 0.5000  6 Sm 2.61
Be1 0.0000 0.0000 0.0000  6 Sm 2.87

---

Record 8
Material: SmBe2H6
Method: DFT, PBE
State: relaxed

Output
Spin magnetization in μB per cell: 0.00
Density in g cm⁻³: 3.71
Calculated total energy in eV/atom: -3.812

abc: 5.8493 4.1472 6.1974
angles: 41.66 58.07 52.12
Closest atoms and distances in Å follow each position.
Sites, in units of the cell vectors:
H1 0.6578 0.6514 0.3449  2 Be 1.46-1.48
H2 0.2003 0.1963 0.1202  1 Be 1.42
H3 0.7997 0.8037 0.8798  1 Be 1.42
H4 0.2002 0.1959 0.4837  1 Be 1.42
H5 0.3422 0.3486 0.6551  2 Be 1.46-1.48
H6 0.7998 0.8041 0.5163  1 Be 1.42
Sm1 0.0000 0.0000 0.0000  10 H 2.25-2.36
Be1 0.6656 0.1150 0.6095  4 H 1.42-1.48
Be2 0.3344 0.8850 0.3905  4 H 1.42-1.48

---

Record 9
Material: SmBeH
Method: DFT, PBE
State: relaxed

Output
Spin magnetization in μB per cell: 0.00
Density in g cm⁻³: 5.22
Excess energy over the best structure of this formula in the dataset in eV per atom: 0.113
Calculated total energy in eV/atom: -3.717

abc: 3.4945 3.4945 4.8543
angles: 111.10 111.10 90.00
Closest atoms and distances in Å follow each position.
Sites, in units of the cell vectors:
Be1 0.2807 0.2807 0.5615  1 H 1.47
Sm1 0.6142 0.6142 0.2284  4 H 2.47
H1 0.1050 0.1050 0.2101  1 Be 1.47

---

Record 10
Material: Sm12Be3H5
Method: DFT, PBE
State: relaxed

Output
Spin magnetization in μB per cell: 0.00
Density in g cm⁻³: 6.71
Calculated total energy in eV/atom: -4.290

abc: 13.3168 13.3168 13.3168
angles: 109.47 109.47 109.47
Closest atoms and distances in Å follow each position.
Sites, in units of the cell vectors:
Sm1 0.9748 0.3828 0.2858  1 H 2.23
Sm2 0.8110 0.9030 0.2858  1 H 2.23
Sm3 0.6890 0.4748 0.5920  1 H 2.23
Sm4 0.4030 0.2858 0.3110  1 H 2.23
Sm5 0.8828 0.2858 0.4748  1 H 2.23
Sm6 0.1890 0.0970 0.7142  1 H 2.23
Sm7 0.5252 0.3110 0.9080  1 H 2.23
Sm8 0.9748 0.5920 0.1890  1 H 2.23
Sm9 0.1890 0.0920 0.9748  1 H 2.23
Sm10 0.3828 0.9748 0.7858  1 H 2.23
Sm11 0.6172 0.5920 0.9030  1 H 2.23
Sm12 0.3110 0.5252 0.4080  1 H 2.23
Sm13 0.9080 0.0970 0.8828  1 H 2.23
Sm14 0.7142 0.5970 0.1890  1 H 2.23
Sm15 0.5920 0.9748 0.6890  1 H 2.23
Sm16 0.3828 0.4080 0.0970  1 H 2.23
Sm17 0.7858 0.4748 0.3828  1 H 2.23
Sm18 0.4748 0.7858 0.8828  1 H 2.23
Sm19 0.2858 0.8828 0.9748  1 H 2.23
Sm20 0.9030 0.8110 0.7858  1 H 2.23
Sm21 0.6890 0.2142 0.5970  1 H 2.23
Sm22 0.8110 0.9080 0.0252  1 H 2.23
Sm23 0.0920 0.1890 0.4748  1 H 2.23
Sm24 0.9030 0.0920 0.6172  1 H 2.23
Sm25 0.4748 0.6890 0.0920  1 H 2.23
Sm26 0.0970 0.9080 0.3828  1 H 2.23
Sm27 0.4080 0.3828 0.5970  1 H 2.23
Sm28 0.4030 0.1172 0.5920  1 H 2.23
Sm29 0.8828 0.5970 0.9080  1 H 2.23
Sm30 0.0920 0.9030 0.1172  1 H 2.23
Sm31 0.5920 0.6172 0.4030  1 H 2.23
Sm32 0.9080 0.8110 0.5252  1 H 2.23
Sm33 0.7858 0.3110 0.9030  1 H 2.23
Sm34 0.4080 0.0252 0.3110  1 H 2.23
Sm35 0.0252 0.4080 0.8110  1 H 2.23
Sm36 0.5252 0.2142 0.1172  1 H 2.23
Sm37 0.5970 0.8828 0.4080  1 H 2.23
Sm38 0.1172 0.4030 0.0920  1 H 2.23
Sm39 0.5970 0.7142 0.6890  1 H 2.23
Sm40 0.0970 0.1890 0.2142  1 H 2.23
Sm41 0.1172 0.7142 0.5252  1 H 2.23
Sm42 0.2858 0.4030 0.8110  1 H 2.23
Sm43 0.6172 0.0252 0.2142  1 H 2.23
Sm44 0.2142 0.6890 0.0970  1 H 2.23
Sm45 0.2142 0.5252 0.6172  1 H 2.23
Sm46 0.0252 0.6172 0.7142  1 H 2.23
Sm47 0.7142 0.1172 0.0252  1 H 2.23
Sm48 0.3110 0.7858 0.4030  1 H 2.23
H1 0.5000 0.0000 0.0000  6 Sm 2.59
H2 0.8750 0.2500 0.6250  4 Sm 2.23
H3 0.2500 0.8750 0.1250  4 Sm 2.23
H4 0.0000 0.0000 0.5000  6 Sm 2.59
H5 0.3750 0.1250 0.7500  4 Sm 2.23
H6 0.7500 0.1250 0.8750  4 Sm 2.23
H7 0.0000 0.0000 0.0000  6 Sm 2.59
H8 0.2500 0.3750 0.6250  4 Sm 2.23
H9 0.1250 0.3750 0.2500  4 Sm 2.23
H10 0.1250 0.7500 0.3750  4 Sm 2.23
H11 0.8750 0.6250 0.7500  4 Sm 2.23
H12 0.0000 0.5000 0.5000  6 Sm 2.59
H13 0.0000 0.5000 0.0000  6 Sm 2.59
H14 0.6250 0.8750 0.2500  4 Sm 2.23
H15 0.5000 0.5000 0.5000  6 Sm 2.59
H16 0.6250 0.7500 0.8750  4 Sm 2.23
H17 0.5000 0.5000 0.0000  6 Sm 2.59
H18 0.7500 0.6250 0.3750  4 Sm 2.23
H19 0.3750 0.2500 0.1250  4 Sm 2.23
H20 0.5000 0.0000 0.5000  6 Sm 2.59
Be1 0.8750 0.1250 0.2500  8 Sm 2.99-3.04
Be2 0.6250 0.3750 0.7500  8 Sm 2.99-3.04
Be3 0.2500 0.6250 0.8750  8 Sm 2.99-3.04
Be4 0.1250 0.8750 0.7500  8 Sm 2.99-3.04
Be5 0.2500 0.1250 0.3750  8 Sm 2.99-3.04
Be6 0.7500 0.3750 0.1250  8 Sm 2.99-3.04
Be7 0.3750 0.7500 0.6250  8 Sm 2.99-3.04
Be8 0.6250 0.2500 0.3750  8 Sm 2.99-3.04
Be9 0.3750 0.6250 0.2500  8 Sm 2.99-3.04
Be10 0.8750 0.7500 0.1250  8 Sm 2.99-3.04
Be11 0.1250 0.2500 0.8750  8 Sm 2.99-3.04
Be12 0.7500 0.8750 0.6250  8 Sm 2.99-3.04

---

Record 11
Material: SmBeH
Method: DFT, PBE
State: relaxed

Output
Spin magnetization in μB per cell: 0.00
Density in g cm⁻³: 6.03
Excess energy over the best structure of this formula in the dataset in eV per atom: 0.000
Calculated total energy in eV/atom: -3.830

abc: 3.1431 3.2836 8.7070
angles: 90.00 100.40 90.00
Closest atoms and distances in Å follow each position.
Sites, in units of the cell vectors:
H1 0.4405 0.2500 0.8809  4 Sm 2.38, 2 H 2.62
H2 0.5595 0.7500 0.1191  4 Sm 2.38, 2 H 2.62
Sm1 0.1004 0.2500 0.2007  4 H 2.38
Sm2 0.8996 0.7500 0.7993  4 H 2.38
Be1 0.2471 0.7500 0.4942  4 Be 2.27
Be2 0.7529 0.2500 0.5058  4 Be 2.27

---

Record 12
Material: SmBe2H7
Method: DFT, PBE
State: relaxed

Output
Spin magnetization in μB per cell: 0.00
Density in g cm⁻³: 3.96
Calculated total energy in eV/atom: -3.616

abc: 3.2922 4.9349 4.9349
angles: 113.58 90.00 90.00
Closest atoms and distances in Å follow each position.
Sites, in units of the cell vectors:
Sm1 0.0000 0.0000 0.0000  10 H 2.25-2.37
H1 0.5000 0.0456 0.3251  2 Be 1.70-1.76
H2 0.5000 0.9544 0.6749  2 Be 1.70-1.76
H3 0.5000 0.3251 0.0456  2 Be 1.70-1.76
H4 0.0000 0.7131 0.2869  2 Be 1.65
H5 0.0000 0.2869 0.7131  2 Be 1.65
H6 0.5000 0.5000 0.5000  2 Be 1.60
H7 0.5000 0.6749 0.9544  2 Be 1.70-1.76
Be1 0.5000 0.3068 0.6932  7 H 1.60-1.76
Be2 0.5000 0.6932 0.3068  7 H 1.60-1.76

---

Record 13
Material: BeSnH2
Method: DFT, PBE
State: relaxed

Output
Spin magnetization in μB per cell: 0.00
Density in g cm⁻³: 4.71
Excess energy over the best structure of this formula in the dataset in eV per atom: 0.000
Calculated total energy in eV/atom: -3.274

abc: 4.9756 4.9756 5.1025
angles: 60.82 60.82 90.00
Closest atoms and distances in Å follow each position.
Sites, in units of the cell vectors:
H1 0.3746 0.1250 0.2500  2 Be 1.55
H2 0.8750 0.6246 0.7500  2 Be 1.55
H3 0.3754 0.6250 0.2500  2 Be 1.55
H4 0.3750 0.6254 0.7500  2 Be 1.55
Be1 0.2500 0.7500 0.5000  4 H 1.55
Be2 0.5000 0.5000 0.0000  4 H 1.55
Sn1 0.7500 0.2500 0.5000  12 H 2.93-3.04, 4 Sn 3.10, 4 Be 3.10
Sn2 0.0000 0.0000 0.0000  12 H 2.93-3.04, 4 Sn 3.10, 4 Be 3.10

---

Record 14
Material: BeSnH
Method: DFT, PBE
State: relaxed

Output
Spin magnetization in μB per cell: 0.00
Density in g cm⁻³: 4.39
Calculated total energy in eV/atom: -3.537

abc: 4.4264 6.4309 7.6501
angles: 116.68 90.00 90.00
Closest atoms and distances in Å follow each position.
Sites, in units of the cell vectors:
Sn1 0.1739 0.8235 0.6273  2 Be 2.52-2.53, 2 Sn 2.82
Sn2 0.3261 0.3235 0.6273  2 Be 2.52-2.53, 2 Sn 2.82
Sn3 0.8261 0.1765 0.3727  2 Be 2.52-2.53, 2 Sn 2.82
Sn4 0.6739 0.6765 0.3727  2 Be 2.52-2.53, 2 Sn 2.82
Be1 0.6884 0.7889 0.0959  2 H 1.43-1.45
Be2 0.3116 0.2111 0.9041  2 H 1.43-1.45
Be3 0.1884 0.7111 0.9041  2 H 1.43-1.45
Be4 0.8116 0.2889 0.0959  2 H 1.43-1.45
H1 0.3815 0.8427 0.0656  2 Be 1.43-1.45
H2 0.8815 0.6573 0.9344  2 Be 1.43-1.45
H3 0.6185 0.1573 0.9344  2 Be 1.43-1.45
H4 0.1185 0.3427 0.0656  2 Be 1.43-1.45

---

Record 15
Material: BeSnH2
Method: DFT, PBE
State: relaxed

Output
Spin magnetization in μB per cell: 0.00
Density in g cm⁻³: 5.06
Excess energy over the best structure of this formula in the dataset in eV per atom: 0.539
Calculated total energy in eV/atom: -2.735

abc: 3.9205 3.9205 3.9205
angles: 60.00 60.00 60.00
Closest atoms and distances in Å follow each position.
Sites, in units of the cell vectors:
H1 0.2500 0.2500 0.2500  4 Sn 2.40, 4 Be 2.40
H2 0.7500 0.7500 0.7500  4 Be 2.40, 4 Sn 2.40
Sn1 0.5000 0.5000 0.5000  8 H 2.40
Be1 0.0000 0.0000 0.0000  8 H 2.40

---

Record 16
Material: BeSn3H
Method: DFT, PBE
State: relaxed

Output
Spin magnetization in μB per cell: 0.00
Density in g cm⁻³: 6.09
Excess energy over the best structure of this formula in the dataset in eV per atom: 0.000
Calculated total energy in eV/atom: -3.202

abc: 4.6384 4.6384 4.6384
angles: 90.00 90.00 90.00
Closest atoms and distances in Å follow each position.
Sites, in units of the cell vectors:
Sn1 0.0000 0.5000 0.0000  2 H 2.32
Sn2 0.0000 0.0000 0.5000  2 H 2.32
Sn3 0.5000 0.0000 0.0000  2 H 2.32
H1 0.0000 0.0000 0.0000  6 Sn 2.32
Be1 0.5000 0.5000 0.5000  12 Sn 3.28

---

Record 17
Material: BeSnH3
Method: DFT, PBE
State: relaxed

Output
Spin magnetization in μB per cell: 0.00
Density in g cm⁻³: 4.72
Excess energy over the best structure of this formula in the dataset in eV per atom: 0.000
Calculated total energy in eV/atom: -3.072

abc: 3.5841 3.5841 3.5841
angles: 90.00 90.00 90.00
Closest atoms and distances in Å follow each position.
Sites, in units of the cell vectors:
Sn1 0.5000 0.5000 0.5000  12 H 2.53
H1 0.0000 0.5000 0.0000  2 Be 1.79
H2 0.5000 0.0000 0.0000  2 Be 1.79
H3 0.0000 0.0000 0.5000  2 Be 1.79
Be1 0.0000 0.0000 0.0000  6 H 1.79

---

Record 18
Material: BeSnH3
Method: DFT, PBE
State: relaxed

Output
Spin magnetization in μB per cell: 0.00
Density in g cm⁻³: 3.41
Excess energy over the best structure of this formula in the dataset in eV per atom: 0.442
Calculated total energy in eV/atom: -2.629

abc: 3.9912 3.9912 3.9912
angles: 90.00 90.00 90.00
Closest atoms and distances in Å follow each position.
Sites, in units of the cell vectors:
H1 0.5000 0.0000 0.0000  2 Sn 2.00
H2 0.0000 0.0000 0.5000  2 Sn 2.00
H3 0.0000 0.5000 0.0000  2 Sn 2.00
Be1 0.5000 0.5000 0.5000  12 H 2.82
Sn1 0.0000 0.0000 0.0000  6 H 2.00

---

Record 19
Material: Zr2BeSnH
Method: DFT, PBE
State: relaxed

Output
Spin magnetization in μB per cell: 0.00
Density in g cm⁻³: 6.56
Calculated total energy in eV/atom: -5.850

abc: 4.3273 4.3273 4.2082
angles: 90.00 90.00 90.00
Closest atoms and distances in Å follow each position.
Sites, in units of the cell vectors:
Be1 0.0000 0.0000 0.5000  2 H 2.10
H1 0.0000 0.0000 0.0000  2 Be 2.10, 4 Zr 2.16
Zr1 0.5000 0.0000 0.0000  2 H 2.16
Zr2 0.0000 0.5000 0.0000  2 H 2.16
Sn1 0.5000 0.5000 0.5000  8 Zr 3.02, 4 Be 3.06

---

Record 20
Material: SrBe2H6
Method: DFT, PBE
State: relaxed

Output
Spin magnetization in μB per cell: 0.00
Density in g cm⁻³: 2.08
Excess energy over the best structure of this formula in the dataset in eV per atom: 0.003
Calculated total energy in eV/atom: -3.535

abc: 4.4213 4.8999 5.2390
angles: 53.60 77.11 82.40
Closest atoms and distances in Å follow each position.
Sites, in units of the cell vectors:
H1 0.5954 0.0133 0.7234  1 Be 1.41
H2 0.4046 0.9867 0.2766  1 Be 1.41
H3 0.3025 0.5453 0.8903  2 Be 1.47-1.51
H4 0.1676 0.3819 0.4074  1 Be 1.39
H5 0.8324 0.6181 0.5926  1 Be 1.39
H6 0.6975 0.4547 0.1097  2 Be 1.47-1.51
Be1 0.3876 0.3058 0.2221  4 H 1.39-1.51
Be2 0.6124 0.6942 0.7779  4 H 1.39-1.51
Sr1 0.0000 0.0000 0.0000  10 H 2.48-2.73